No. 1
{
  "formula": "Hf2GePd2Pb",
  "functional": "PBE",
  "state": "relaxed",
  "cell": [[10.9021, 0.0000, 0.0000], [0.0000, 4.4484, 0.0000], [-3.6502, 0.0000, 10.2970]],
  "species": ["Hf", "Hf", "Hf", "Hf", "Hf", "Hf", "Hf", "Hf", "Ge", "Ge", "Ge", "Ge", "Pd", "Pd", "Pd", "Pd", "Pd", "Pd", "Pd", "Pd", "Pb", "Pb", "Pb", "Pb"],
  "frac_coords": [[0.0000, 0.0000, 0.0000], [0.1164, 0.5000, 0.3731], [0.2377, 0.0000, 0.7418], [0.3757, 0.5000, 0.1355], [0.4980, 0.0000, 0.4988], [0.6238, 0.5000, 0.8665], [0.7468, 0.0000, 0.2576], [0.8656, 0.5000, 0.6198], [0.2477, 0.0000, 0.2510], [0.6214, 0.5000, 0.3759], [0.7449, 0.0000, 0.7451], [0.9927, 0.0000, 0.4977], [0.1310, 0.5000, 0.1342], [0.2346, 0.0000, 0.4882], [0.3698, 0.5000, 0.8732], [0.4991, 0.0000, 0.2605], [0.6259, 0.5000, 0.6205], [0.7479, 0.0000, 0.9873], [0.8684, 0.5000, 0.3808], [0.9845, 0.0000, 0.7388], [0.1189, 0.5000, 0.8744], [0.3690, 0.5000, 0.6206], [0.4979, 0.0000, 0.0018], [0.8702, 0.5000, 0.1245]]
}

No. 2
{
  "formula": "LiHf2W",
  "functional": "PBE",
  "state": "relaxed",
  "cell": [[6.5976, 0.0000, 0.0000], [0.0000, 6.5976, 0.0000], [0.0000, 0.0000, 6.5976]],
  "species": ["Li", "Li", "Li", "Li", "Hf", "Hf", "Hf", "Hf", "Hf", "Hf", "Hf", "Hf", "W", "W", "W", "W"],
  "frac_coords": [[0.0000, 0.0000, 0.0000], [0.0000, 0.5000, 0.5000], [0.5000, 0.0000, 0.5000], [0.5000, 0.5000, 0.0000], [0.0000, 0.0000, 0.5000], [0.0000, 0.5000, 0.0000], [0.2500, 0.2500, 0.7500], [0.2500, 0.7500, 0.2500], [0.5000, 0.0000, 0.0000], [0.5000, 0.5000, 0.5000], [0.7500, 0.2500, 0.2500], [0.7500, 0.7500, 0.7500], [0.2500, 0.2500, 0.2500], [0.2500, 0.7500, 0.7500], [0.7500, 0.2500, 0.7500], [0.7500, 0.7500, 0.2500]]
}

No. 3
{
  "formula": "TlCdW4C2",
  "functional": "PBE",
  "state": "relaxed",
  "cell": [[3.1094, 0.0000, 0.0000], [-1.5547, 2.6928, 0.0000], [0.0000, 0.0000, 14.3328]],
  "species": ["Tl", "Cd", "W", "W", "W", "W", "C", "C"],
  "frac_coords": [[0.0000, 0.0000, 0.0000], [0.3333, 0.6667, 0.5000], [0.0000, 0.0000, 0.3307], [0.0000, 0.0000, 0.6693], [0.3333, 0.6667, 0.1706], [0.3333, 0.6667, 0.8294], [0.6667, 0.3333, 0.2510], [0.6667, 0.3333, 0.7490]]
}

No. 4
{
  "formula": "LuMg2Os",
  "functional": "PBE",
  "state": "relaxed",
  "cell": [[6.7343, 0.0000, 0.0000], [0.0000, 6.7343, 0.0000], [0.0000, 0.0000, 6.7343]],
  "species": ["Lu", "Lu", "Lu", "Lu", "Mg", "Mg", "Mg", "Mg", "Mg", "Mg", "Mg", "Mg", "Os", "Os", "Os", "Os"],
  "frac_coords": [[0.0000, 0.0000, 0.0000], [0.0000, 0.5000, 0.5000], [0.5000, 0.0000, 0.5000], [0.5000, 0.5000, 0.0000], [0.0000, 0.0000, 0.5000], [0.0000, 0.5000, 0.0000], [0.2500, 0.2500, 0.2500], [0.2500, 0.7500, 0.7500], [0.5000, 0.0000, 0.0000], [0.5000, 0.5000, 0.5000], [0.7500, 0.2500, 0.7500], [0.7500, 0.7500, 0.2500], [0.2500, 0.2500, 0.7500], [0.2500, 0.7500, 0.2500], [0.7500, 0.2500, 0.2500], [0.7500, 0.7500, 0.7500]]
}

No. 5
{
  "formula": "PrHo2Mg3Cd2Ag",
  "functional": "PBE",
  "state": "relaxed",
  "cell": [[4.2653, 0.0000, 0.0000], [0.0000, 6.7993, 3.8968], [0.0000, -6.7993, 3.8968]],
  "species": ["Pr", "Ho", "Ho", "Mg", "Mg", "Mg", "Cd", "Cd", "Ag"],
  "frac_coords": [[0.0000, 0.0000, 0.0000], [0.0000, 0.4094, 0.8151], [0.0000, 0.8151, 0.4094], [0.5000, 0.1683, 0.4114], [0.5000, 0.4114, 0.1683], [0.5000, 0.6509, 0.6509], [0.5000, 0.0794, 0.7360], [0.5000, 0.7360, 0.0794], [0.0000, 0.4166, 0.4166]]
}

No. 6
{
  "formula": "NaPmO2",
  "functional": "PBE",
  "state": "relaxed",
  "cell": [[4.7093, 0.0000, 0.0000], [0.0000, 4.7093, 0.0000], [0.0000, 0.0000, 10.7866]],
  "species": ["Na", "Na", "Na", "Na", "Pm", "Pm", "Pm", "Pm", "O", "O", "O", "O", "O", "O", "O", "O"],
  "frac_coords": [[0.0000, 0.2500, 0.3750], [0.0000, 0.7500, 0.6250], [0.5000, 0.2500, 0.1250], [0.5000, 0.7500, 0.8750], [0.0000, 0.2500, 0.8750], [0.0000, 0.7500, 0.1250], [0.5000, 0.2500, 0.6250], [0.5000, 0.7500, 0.3750], [0.0000, 0.2500, 0.0952], [0.0000, 0.2500, 0.6548], [0.0000, 0.7500, 0.3452], [0.0000, 0.7500, 0.9048], [0.5000, 0.2500, 0.4048], [0.5000, 0.2500, 0.8452], [0.5000, 0.7500, 0.1548], [0.5000, 0.7500, 0.5952]]
}

No. 7
{
  "formula": "MgInAgSe3",
  "functional": "PBE",
  "state": "relaxed",
  "cell": [[1.9230, -6.3551, 0.0000], [1.9230, 6.3551, 0.0000], [0.0000, 0.0000, 11.2307]],
  "species": ["Mg", "Mg", "In", "In", "Ag", "Ag", "Se", "Se", "Se", "Se", "Se", "Se"],
  "frac_coords": [[0.2382, 0.7618, 0.7500], [0.7618, 0.2382, 0.2500], [0.0000, 0.0000, 0.0000], [0.0000, 0.0000, 0.5000], [0.4651, 0.5349, 0.2500], [0.5349, 0.4651, 0.7500], [0.1191, 0.8809, 0.2500], [0.3535, 0.6465, 0.0569], [0.3535, 0.6465, 0.4431], [0.6465, 0.3535, 0.5569], [0.6465, 0.3535, 0.9431], [0.8809, 0.1191, 0.7500]]
}

No. 8
{
  "formula": "HoAgSnTe3",
  "functional": "PBE",
  "state": "relaxed",
  "cell": [[9.0762, 0.0000, 0.0000], [0.0000, 4.5158, 0.0000], [0.0000, 0.0000, 18.0153]],
  "species": ["Ho", "Ho", "Ho", "Ho", "Ag", "Ag", "Ag", "Ag", "Sn", "Sn", "Sn", "Sn", "Te", "Te", "Te", "Te", "Te", "Te", "Te", "Te", "Te", "Te", "Te", "Te"],
  "frac_coords": [[0.2318, 0.2500, 0.0360], [0.2682, 0.7500, 0.5360], [0.7318, 0.2500, 0.4640], [0.7682, 0.7500, 0.9640], [0.1230, 0.2500, 0.3613], [0.3770, 0.7500, 0.8613], [0.6230, 0.2500, 0.1387], [0.8770, 0.7500, 0.6387], [0.0873, 0.2500, 0.7511], [0.4127, 0.7500, 0.2511], [0.5873, 0.2500, 0.7489], [0.9127, 0.7500, 0.2489], [0.0323, 0.2500, 0.5835], [0.1140, 0.7500, 0.9394], [0.1943, 0.2500, 0.2100], [0.3057, 0.7500, 0.7100], [0.3860, 0.2500, 0.4394], [0.4677, 0.7500, 0.0835], [0.5323, 0.2500, 0.9165], [0.6140, 0.7500, 0.5606], [0.6943, 0.2500, 0.2900], [0.8057, 0.7500, 0.7900], [0.8860, 0.2500, 0.0606], [0.9677, 0.7500, 0.4165]]
}

no.,total energy (eV/atom),ρ (g/cm3)
1,-6.996,11.3
2,-8.227,12.7
3,-8.842,14.9
4,-4.706,9.0
5,-2.828,6.4
6,-6.677,5.6
7,-3.366,5.9
8,-4.087,7.0